Density functional theory data (PBE-GGA) for an optimized crystal structure of KSe3.

```
KSe3
1.0
3.5347 0.0000 0.0000
0.0000 3.5347 0.0000
0.0000 0.0000 7.9356
Se K
3 1
direct
0.5000 0.5000 0.7058
0.0000 0.0000 0.5000
0.5000 0.5000 0.2942
0.0000 0.0000 0.0000
```

Calculated values
Final energy ... -11.290 eV per cell
N(E_F) ... 0.796 states/eV/atom
Formation energy without anion corrections ... 0.065 eV/atom



Density functional theory data (PBE-GGA) for an optimized crystal structure of V2Mo2As.

```
V2Mo2As
1.0
6.0180 0.0000 0.0000
0.0000 6.0180 0.0000
0.0000 0.0000 4.2685
Mo V As
4 4 2
direct
0.3190 0.1810 0.5000
0.6810 0.8190 0.5000
0.1810 0.6810 0.5000
0.8190 0.3190 0.5000
0.8621 0.6379 0.0000
0.3621 0.8621 0.0000
0.1379 0.3621 0.0000
0.6379 0.1379 0.0000
0.0000 0.0000 0.0000
0.5000 0.5000 0.0000
```

Calculated values
DFT formation energy ... 323 meV per atom
Final energy ... -85.869 eV per cell
N(E_F) ... 1.257 states/eV/atom



Density functional theory data (PBE-GGA) for an optimized crystal structure of Ce2GaBi4.

```
Ce2GaBi4
1.0
5.9957 0.0030 -3.4290
-2.0080 5.6494 -3.4290
-0.1611 -0.2283 6.6499
Bi Ce Ga
4 2 1
direct
0.7857 0.2857 0.0714
0.2857 0.7857 0.0714
0.7858 0.7858 0.0716
0.2856 0.2856 0.0712
0.7856 0.2858 0.5714
0.2858 0.7856 0.5714
0.7857 0.7857 0.5715
```

Calculated values
DFT formation energy ... -461 meV per atom
Final energy ... -33.647 eV per cell
N(E_F) ... 1.526 states/eV/atom